Entry from Alexandria via LeMat-Bulk: an optimized crystal structure of Nd3Dy3TmTe8 (PBE-GGA).

Computed properties:
SG: R-3m (166)
formation energy (no corrections): -1.3960 eV/atom
VASP energy: -5.2437 eV/atom

a b c (Å): 8.8405 8.8405 8.8405
angles (deg): 59.58 59.58 59.58
Last column: nearest neighbours and their distance in Å.
Atoms (fractional coordinates):
Nd1 0.0000 0.5000 0.5000  6 Te 3.16
Nd2 0.5000 0.0000 0.5000  6 Te 3.16
Nd3 0.5000 0.5000 0.0000  6 Te 3.16
Dy1 0.0000 0.0000 0.5000  6 Te 3.07
Dy2 0.0000 0.5000 0.0000  6 Te 3.07
Dy3 0.5000 0.0000 0.0000  6 Te 3.07
Tm1 0.5000 0.5000 0.5000  6 Te 3.12
Te1 0.2423 0.7501 0.7501  2 Dy 3.07, 1 Tm 3.12, 2 Nd 3.16
Te2 0.2462 0.2462 0.2462  3 Dy 3.07, 3 Nd 3.16
Te3 0.2499 0.2499 0.7577  2 Dy 3.07, 1 Tm 3.12, 2 Nd 3.16
Te4 0.2499 0.7577 0.2499  2 Dy 3.07, 1 Tm 3.12, 2 Nd 3.16
Te5 0.7501 0.2423 0.7501  2 Dy 3.07, 1 Tm 3.12, 2 Nd 3.16
Te6 0.7501 0.7501 0.2423  2 Dy 3.07, 1 Tm 3.12, 2 Nd 3.16
Te7 0.7538 0.7538 0.7538  3 Dy 3.07, 3 Nd 3.16
Te8 0.7577 0.2499 0.2499  2 Dy 3.07, 1 Tm 3.12, 2 Nd 3.16

=====

Entry from Alexandria via LeMat-Bulk: an optimized crystal structure of AlCr2Re (PBE-GGA).

Computed properties:
SG: Pmm2 (25)
energy relative to the elements: 0.10 eV per atom
VASP energy: -8.7636 eV/atom

a b c (Å): 2.6746 3.8952 5.1274
angles (deg): 90.00 90.00 90.00
Last column: nearest neighbours and their distance in Å.
Atoms (fractional coordinates):
Al1 0.0000 0.0000 0.0000  6 Cr 2.52-2.66, 2 Al 2.67, 4 Re 2.72
Cr1 0.0000 0.0000 0.4914  2 Al 2.52-2.61, 6 Cr 2.67-2.69, 4 Re 2.68
Cr2 0.5000 0.5000 0.2394  2 Re 2.55-2.58, 4 Al 2.66, 6 Cr 2.67-2.69
Re1 0.5000 0.5000 0.7370  6 Cr 2.55-2.68, 2 Re 2.67, 4 Al 2.72

=====

Entry from Alexandria via LeMat-Bulk: an optimized crystal structure of Tm3Bi2Sb (PBE-GGA).

Computed properties:
SG: C2/c (15)
formation energy (no corrections): -0.8758 eV/atom
VASP energy: -5.0922 eV/atom

a b c (Å): 7.6223 7.6223 7.6114
angles (deg): 99.59 99.59 119.96
Last column: nearest neighbours and their distance in Å.
Atoms (fractional coordinates):
Tm1 0.0000 0.5000 0.0000  2 Sb 3.10, 4 Bi 3.11
Tm2 0.1615 0.3239 0.4983  2 Sb 3.08, 4 Bi 3.12-3.15
Tm3 0.3239 0.1615 0.9983  2 Sb 3.08, 4 Bi 3.12-3.15
Tm4 0.5000 0.0000 0.5000  2 Sb 3.10, 4 Bi 3.11
Tm5 0.6761 0.8385 0.0017  2 Sb 3.08, 4 Bi 3.12-3.15
Tm6 0.8385 0.6761 0.5017  2 Sb 3.08, 4 Bi 3.12-3.15
Bi1 0.2520 0.7480 0.7500  6 Tm 3.11-3.14
Bi2 0.4170 0.5830 0.2500  6 Tm 3.11-3.15
Bi3 0.5830 0.4170 0.7500  6 Tm 3.11-3.15
Bi4 0.7480 0.2520 0.2500  6 Tm 3.11-3.14
Sb1 0.0848 0.9152 0.2500  6 Tm 3.08-3.10
Sb2 0.9152 0.0848 0.7500  6 Tm 3.08-3.10

=====

Entry from Alexandria via LeMat-Bulk: an optimized crystal structure of NdSc2Ir9 (PBE-GGA).

Computed properties:
SG: R-3m (166)
energy relative to the elements: -0.53 eV per atom
VASP energy: -8.6249 eV/atom

a b c (Å): 9.1577 9.1577 9.1577
angles (deg): 33.51 33.51 33.51
Last column: nearest neighbours and their distance in Å.
Atoms (fractional coordinates):
Nd1 0.0000 0.0000 0.0000  6 Ir 3.05
Sc1 0.1400 0.1400 0.1400  12 Ir 3.01-3.20, 3 Sc 3.35
Sc2 0.8600 0.8600 0.8600  12 Ir 3.01-3.20, 3 Sc 3.35
Ir1 0.0814 0.5861 0.5861  7 Ir 2.62-2.67
Ir2 0.3340 0.3340 0.3340  6 Ir 2.66-2.67
Ir3 0.4139 0.4139 0.9186  7 Ir 2.62-2.67
Ir4 0.4139 0.9186 0.4139  7 Ir 2.62-2.67
Ir5 0.5000 0.5000 0.5000  6 Ir 2.63
Ir6 0.5861 0.0814 0.5861  7 Ir 2.62-2.67
Ir7 0.5861 0.5861 0.0814  7 Ir 2.62-2.67
Ir8 0.6660 0.6660 0.6660  6 Ir 2.66-2.67
Ir9 0.9186 0.4139 0.4139  7 Ir 2.62-2.67